Density functional theory data (PBE-GGA) for a relaxed Ca3Mg4 crystal.

D(E_F) ... 9.00 states/eV/cell
E_form ... -45 meV per atom
Polymorph energy (0 for the lowest one) ... 0.0 meV per atom

Cell and atoms, written as CIF:
```
data_Ca3Mg4
_chemical_formula_sum 'Ca6 Mg8'
_symmetry_space_group_name_H-M 'I 4/m m m'
_symmetry_Int_Tables_number 139
_symmetry_space_group_name_Hall '-I 4 2'
_cell_length_a 3.742
_cell_length_b 3.742
_cell_length_c 30.231
_cell_angle_alpha 90.00
_cell_angle_beta 90.00
_cell_angle_gamma 90.00
loop_
_atom_site_label
_atom_site_fract_x
_atom_site_fract_y
_atom_site_fract_z
Ca1 0.000 0.000 0.000
Ca2 0.000 0.000 0.299
Mg1 0.000 0.000 0.128
Mg2 0.000 0.000 0.426
```

***

Density functional theory data (PBE-GGA) for a relaxed SrYCu crystal.

D(E_F) ... 2.31 states/eV/cell
E_form ... 170 meV per atom
Polymorph energy (0 for the lowest one) ... 194.7 meV per atom

Cell and atoms, written as CIF:
```
data_SrYCu
_chemical_formula_sum 'Sr1 Y1 Cu1'
_symmetry_space_group_name_H-M 'P 3 m 1'
_symmetry_Int_Tables_number 156
_cell_length_a 4.8436
_cell_length_b 4.8436
_cell_length_c 4.6620
_cell_angle_alpha 90.00
_cell_angle_beta 90.00
_cell_angle_gamma 120.00
loop_
_symmetry_equiv_pos_as_xyz
'x,y,z'
'-y,x-y,z'
'-x+y,-x,z'
'-y,-x,z'
'-x+y,y,z'
'x,x-y,z'
loop_
_atom_site_label
_atom_site_fract_x
_atom_site_fract_y
_atom_site_fract_z
Sr1 0.0000 0.0000 0.0000
Y1 0.6667 0.3333 0.4992
Cu1 0.3333 0.6667 0.5230
```

***

Density functional theory data (PBE-GGA) for a relaxed ScZnAu2 crystal.

D(E_F) ... 2.57 states/eV/cell
E_form ... -460 meV per atom

Cell and atoms, written as CIF:
```
data_ScZnAu2
_chemical_formula_sum 'Sc1 Zn1 Au2'
_symmetry_space_group_name_H-M 'P 1 m 1'
_symmetry_Int_Tables_number 6
_cell_length_a 3.117
_cell_length_b 4.709
_cell_length_c 5.207
_cell_angle_alpha 90.00
_cell_angle_beta 90.15
_cell_angle_gamma 90.00
loop_
_symmetry_equiv_pos_as_xyz
'x,y,z'
'x,-y,z'
loop_
_atom_site_label
_atom_site_fract_x
_atom_site_fract_y
_atom_site_fract_z
Sc1 0.000 0.000 0.000
Zn1 0.503 0.500 0.298
Au1 0.499 0.500 0.808
Au2 0.500 0.000 0.496
```

***

Density functional theory data (PBE-GGA) for a relaxed GeSbRu2Se crystal.

D(E_F) ... 5.73 states/eV/cell
Uncorrected formation energy ... 547 kJ/mol of formula units

Cell and atoms, written as CIF:
```
data_GeSbRu2Se
_chemical_formula_sum 'Ge1 Sb1 Ru2 Se1'
_symmetry_space_group_name_H-M 'P 4/m m m'
_symmetry_Int_Tables_number 123
_symmetry_space_group_name_Hall '-P 4 2'
_cell_length_a 4.632
_cell_length_b 4.632
_cell_length_c 5.278
_cell_angle_alpha 90.00
_cell_angle_beta 90.00
_cell_angle_gamma 90.00
loop_
_atom_site_label
_atom_site_fract_x
_atom_site_fract_y
_atom_site_fract_z
Ge1 0.000 0.000 0.000
Sb1 0.000 0.000 0.500
Ru1 0.000 0.500 0.000
Se1 0.500 0.500 0.500
```

***

Density functional theory data (PBE-GGA) for a relaxed PaSi5 crystal.

D(E_F) ... 7.51 states/eV/cell
Uncorrected formation energy ... -10 kJ/mol of formula units

Cell and atoms, written as CIF:
```
data_PaSi5
_chemical_formula_sum 'Pa2 Si10'
_symmetry_space_group_name_H-M 'C m m m'
_symmetry_Int_Tables_number 65
_symmetry_space_group_name_Hall '-C 2 2'
_cell_length_a 4.647
_cell_length_b 12.443
_cell_length_c 3.486
_cell_angle_alpha 90.00
_cell_angle_beta 90.00
_cell_angle_gamma 90.00
loop_
_atom_site_label
_atom_site_fract_x
_atom_site_fract_y
_atom_site_fract_z
Pa1 0.000 0.000 0.000
Si1 0.000 0.196 0.500
Si2 0.000 0.345 0.000
Si3 0.000 0.500 0.500
```

***

Density functional theory data (PBE-GGA) for a relaxed La6Pr2SmSc crystal.

D(E_F) ... 30.10 states/eV/cell
E_form ... 190 meV per atom

Cell and atoms, written as CIF:
```
data_La6Pr2SmSc
_chemical_formula_sum 'La12 Pr4 Sm2 Sc2'
_symmetry_space_group_name_H-M 'C 1 2/m 1'
_symmetry_Int_Tables_number 12
_cell_length_a 10.206
_cell_length_b 7.425
_cell_length_c 9.465
_cell_angle_alpha 90.00
_cell_angle_beta 99.31
_cell_angle_gamma 90.00
loop_
_symmetry_equiv_pos_as_xyz
'x,y,z'
'-x,-y,-z'
'-x,y,-z'
'x,-y,z'
'x+1/2,y+1/2,z'
'-x+1/2,-y+1/2,-z'
'-x+1/2,y+1/2,-z'
'x+1/2,-y+1/2,z'
loop_
_atom_site_label
_atom_site_fract_x
_atom_site_fract_y
_atom_site_fract_z
La1 0.132 0.224 0.268
La2 0.134 0.000 0.624
Pr1 0.155 0.500 0.946
Sm1 0.000 0.500 0.500
Sc1 0.000 0.000 0.000
```

***

Density functional theory data (PBE-GGA) for a relaxed Pr2Ge6Au crystal.

D(E_F) ... 2.48 states/eV/cell
E_form ... -420 meV per atom

Cell and atoms, written as CIF:
```
data_Pr2Ge6Au
_chemical_formula_sum 'Pr4 Ge12 Au2'
_symmetry_space_group_name_H-M 'A m m 2'
_symmetry_Int_Tables_number 38
_cell_length_a 4.236
_cell_length_b 4.196
_cell_length_c 22.538
_cell_angle_alpha 90.00
_cell_angle_beta 90.00
_cell_angle_gamma 90.00
loop_
_symmetry_equiv_pos_as_xyz
'x,y,z'
'-x,-y,z'
'-x,y,z'
'x,-y,z'
'x,y+1/2,z+1/2'
'-x,-y+1/2,z+1/2'
'-x,y+1/2,z+1/2'
'x,-y+1/2,z+1/2'
loop_
_atom_site_label
_atom_site_fract_x
_atom_site_fract_y
_atom_site_fract_z
Pr1 0.000 0.000 0.000
Pr2 0.000 0.000 0.339
Ge1 0.000 0.000 0.627
Ge2 0.000 0.000 0.738
Ge3 0.500 0.000 0.127
Ge4 0.500 0.000 0.239
Ge5 0.500 0.000 0.448
Ge6 0.500 0.000 0.881
Au1 0.500 0.000 0.559
```

***

Density functional theory data (PBE-GGA) for a relaxed TbThCrN4 crystal.

D(E_F) ... 7.71 states/eV/cell
Uncorrected formation energy ... -729 kJ/mol of formula units

Cell and atoms, written as CIF:
```
data_TbThCrN4
_chemical_formula_sum 'Tb2 Th2 Cr2 N8'
_symmetry_space_group_name_H-M 'P 1 21/m 1'
_symmetry_Int_Tables_number 11
_cell_length_a 5.732
_cell_length_b 5.381
_cell_length_c 6.786
_cell_angle_alpha 90.00
_cell_angle_beta 108.03
_cell_angle_gamma 90.00
loop_
_symmetry_equiv_pos_as_xyz
'x,y,z'
'-x,-y,-z'
'-x,y+1/2,-z'
'x,-y+1/2,z'
loop_
_atom_site_label
_atom_site_fract_x
_atom_site_fract_y
_atom_site_fract_z
Tb1 0.212 0.250 0.430
Th1 0.276 0.250 0.950
Cr1 0.268 0.750 0.212
N1 0.064 0.750 0.366
N2 0.099 0.750 0.941
N3 0.473 0.502 0.256
```